An optimized crystal structure of Hf3Pd. Source: Alexandria via LeMat-Bulk, functional PBE.

Energy above the most stable polymorph in this dataset, eV/atom: 0.000
Energy, eV for the cell shown: -36.50
Energy relative to the elements, meV/atom: -362

The structure in POSCAR format:
```
Hf3Pd
1.0
3.225 0.000 0.000
0.000 3.225 0.000
0.000 0.000 7.750
Hf Pd
3 1
Cartesian
0.000 0.000 0.000
1.612 1.612 2.102
1.612 1.612 5.648
0.000 0.000 3.875
```